1.
This record from Alexandria describes an optimized crystal structure of TaCdMo. The functional is PBE.

- E above lowest polymorph: 64 meV per atom
- Density: 11.61 Mg/m³
- DFT formation energy: 0.286 eV/atom
- Fermi-level density of states: 3.1 states/eV/f.u.

```
TaCdMo
1.0
-1.6922 1.6922 4.8629
1.6922 -1.6922 4.8629
1.6922 1.6922 -4.8629
Ta Cd Mo
1 1 1
direct
0.0000 0.0000 0.0000 Ta
0.6900 0.6900 0.0000 Cd
0.3742 0.3742 0.0000 Mo
```

2.
This record from Alexandria describes an optimized crystal structure of Cs8Hg2Pd. The functional is PBE.

- Density: 2.81 Mg/m³
- DFT formation energy: -0.071 eV/atom
- Fermi-level density of states: 8.6 states/eV/f.u.

```
Cs8Hg2Pd
1.0
7.9523 -7.3655 0.0000
7.9523 7.3655 0.0000
-0.5953 0.0000 7.9179
Cs Hg Pd
8 2 1
direct
0.1330 0.6464 0.7825 Cs
0.1431 0.1431 0.7222 Cs
0.3536 0.8670 0.2175 Cs
0.3736 0.3736 0.2698 Cs
0.6264 0.6264 0.7302 Cs
0.6464 0.1330 0.7825 Cs
0.8569 0.8569 0.2778 Cs
0.8670 0.3536 0.2175 Cs
0.1350 0.1350 0.2317 Hg
0.8650 0.8650 0.7683 Hg
0.0000 0.0000 0.0000 Pd
```

3.
This record from Alexandria describes an optimized crystal structure of RbPCl2. The functional is PBE.

- Formation energy from raw total energies: -0.76 eV/f.u.
- E above lowest polymorph: 309 meV per atom
- Density: 2.84 Mg/m³
- Fermi-level density of states: 7.2 states/eV/f.u.

```
RbPCl2
1.0
0.0000 3.7967 3.7967
3.7967 0.0000 3.7967
3.7967 3.7967 0.0000
Rb P Cl
1 1 2
direct
0.0000 0.0000 0.0000 Rb
0.5000 0.5000 0.5000 P
0.2500 0.2500 0.2500 Cl
0.7500 0.7500 0.7500 Cl
```

What is the density in the third record?
2.84 Mg/m³

Look up the Fermi-level density of states of the third one.
7.2 states/eV/f.u.

The lowest Fermi-level density of states belongs to which entry?
TaCdMo